1.
Crystalline Sn2Ge3Au2 at its relaxed geometry, computed with GGA-PBE.

Cell lengths 8.635, 8.635, 8.635 Å; angles 31.74, 31.74, 31.74 degrees
Fractional coordinates of all 7 atoms:
Sn  0.000  0.000  0.000
Sn  0.471  0.471  0.471
Ge  0.358  0.358  0.358
Ge  0.589  0.589  0.589
Ge  0.868  0.868  0.868
Au  0.232  0.232  0.232
Au  0.755  0.755  0.755

Summary:
- total energy (eV per atom) = -3.9030



2.
Crystalline DyHoGe2Os at its relaxed geometry, computed with GGA-PBE.

Cell lengths 5.801, 5.801, 10.125 Å; angles 116.06, 116.06, 43.46 degrees
Fractional coordinates of all 10 atoms:
Dy  0.004  0.004  0.175
Dy  0.996  0.996  0.825
Ho  0.184  0.184  0.615
Ho  0.816  0.816  0.385
Ge  0.357  0.357  0.938
Ge  0.487  0.487  0.624
Ge  0.513  0.513  0.376
Ge  0.643  0.643  0.062
Os  0.271  0.271  0.132
Os  0.729  0.729  0.868

Summary:
- total energy (eV per atom) = -6.6237
- size of the total moment (μB/f.u.) = 0.0



3.
Crystalline CsTmCdS3 at its relaxed geometry, computed with GGA-PBE.

Cell lengths 9.235, 4.113, 10.177 Å; angles 90.00, 111.25, 90.00 degrees
Fractional coordinates of all 12 atoms:
Cs  0.221  0.250  0.240
Cs  0.779  0.750  0.760
Tm  0.336  0.750  0.869
Tm  0.664  0.250  0.131
Cd  0.085  0.250  0.615
Cd  0.915  0.750  0.385
S  0.135  0.250  0.872
S  0.216  0.750  0.554
S  0.478  0.750  0.145
S  0.522  0.250  0.855
S  0.784  0.250  0.446
S  0.865  0.750  0.128

Summary:
- total energy (eV per atom) = -4.5127
- size of the total moment (μB/f.u.) = 0.0



4.
Crystalline LiMgZnFe at its relaxed geometry, computed with GGA-PBE.

Cell lengths 6.028, 6.028, 6.028 Å; angles 90.00, 90.00, 90.00 degrees
Fractional coordinates of all 16 atoms:
Li  0.000  0.000  0.000
Li  0.000  0.500  0.500
Li  0.500  0.000  0.500
Li  0.500  0.500  0.000
Mg  0.250  0.250  0.750
Mg  0.250  0.750  0.250
Mg  0.750  0.250  0.250
Mg  0.750  0.750  0.750
Zn  0.250  0.250  0.250
Zn  0.250  0.750  0.750
Zn  0.750  0.250  0.750
Zn  0.750  0.750  0.250
Fe  0.000  0.000  0.500
Fe  0.000  0.500  0.000
Fe  0.500  0.000  0.000
Fe  0.500  0.500  0.500

Summary:
- total energy (eV per atom) = -3.1263
- size of the total moment (μB/f.u.) = 2.2